Density functional theory data (SCAN) for Dy2CrFeO6 at its PBEsol-relaxed geometry.

Lattice parameters (Å, degrees): 5.1202 5.4914 8.9536 90.00 124.46 90.00
With the nearest neighbours (Å) after each atom.
Fractional positions:
1 Dy 0.2282 0.0740 0.2499  6 O 2.22-2.43
2 Dy 0.2282 0.4260 0.7499  6 O 2.22-2.43
3 Dy 0.7718 0.5740 0.2501  6 O 2.22-2.43
4 Dy 0.7718 0.9260 0.7501  6 O 2.22-2.43
5 Cr 0.5000 0.0000 0.0000  6 O 1.94-1.97
6 Cr 0.5000 0.5000 0.5000  6 O 1.94-1.97
7 Fe 0.0000 0.0000 0.5000  6 O 1.90-1.95
8 Fe 0.0000 0.5000 0.0000  6 O 1.90-1.95
9 O 0.1378 0.1996 0.9486  1 Fe 1.95, 1 Cr 1.97
10 O 0.1378 0.3004 0.4486  1 Fe 1.95, 1 Cr 1.97
11 O 0.2554 0.6972 0.9489  1 Fe 1.94, 1 Cr 1.97
12 O 0.2554 0.8028 0.4489  1 Fe 1.94, 1 Cr 1.97
13 O 0.3485 0.0289 0.7466  1 Fe 1.90, 1 Cr 1.94
14 O 0.3485 0.4711 0.2466  1 Fe 1.90, 1 Cr 1.94
15 O 0.6515 0.5289 0.7534  1 Fe 1.90, 1 Cr 1.94
16 O 0.6515 0.9711 0.2534  1 Fe 1.90, 1 Cr 1.94
17 O 0.7446 0.1972 0.5511  1 Fe 1.94, 1 Cr 1.97
18 O 0.7446 0.3028 0.0511  1 Fe 1.94, 1 Cr 1.97
19 O 0.8622 0.6996 0.5514  1 Fe 1.95, 1 Cr 1.97
20 O 0.8622 0.8004 0.0514  1 Fe 1.95, 1 Cr 1.97

Summary:
- V: 103.8 Å³/f.u.
- Uncorrected formation energy: -30.47 eV/f.u.
- Symmetry: P2_1/c, No. 14

Density functional theory data (SCAN) for Sr2Mg3Al at its PBEsol-relaxed geometry.

Lattice parameters (Å, degrees): 6.1995 6.1995 20.3294 90.00 90.00 120.00
With the nearest neighbours (Å) after each atom.
Fractional positions:
1 Sr 0.0000 0.0000 0.0966  9 Mg 3.61-3.67, 3 Al 3.63, 4 Sr 3.77-3.93
2 Sr 0.0000 0.0000 0.4034  9 Mg 3.61-3.67, 3 Al 3.63, 4 Sr 3.77-3.93
3 Sr 0.0000 0.0000 0.5966  9 Mg 3.61-3.67, 3 Al 3.63, 4 Sr 3.77-3.93
4 Sr 0.0000 0.0000 0.9034  9 Mg 3.61-3.67, 3 Al 3.63, 4 Sr 3.77-3.93
5 Sr 0.3333 0.6667 0.1543  9 Mg 3.61-3.66, 3 Al 3.62, 4 Sr 3.77-3.89
6 Sr 0.3333 0.6667 0.3457  9 Mg 3.61-3.66, 3 Al 3.62, 4 Sr 3.77-3.89
7 Sr 0.6667 0.3333 0.6543  9 Mg 3.61-3.66, 3 Al 3.62, 4 Sr 3.77-3.89
8 Sr 0.6667 0.3333 0.8457  9 Mg 3.61-3.66, 3 Al 3.62, 4 Sr 3.77-3.89
9 Mg 0.0000 0.5000 0.0000  4 Mg 3.10, 2 Al 3.15
10 Mg 0.0000 0.5000 0.5000  4 Mg 3.10, 2 Al 3.15
11 Mg 0.1692 0.3385 0.7500  2 Al 3.05, 4 Mg 3.05-3.15
12 Mg 0.1692 0.8308 0.7500  2 Al 3.05, 4 Mg 3.05-3.15
13 Mg 0.3385 0.1692 0.2500  2 Al 3.05, 4 Mg 3.05-3.15
14 Mg 0.5000 0.0000 0.0000  4 Mg 3.10, 2 Al 3.15
15 Mg 0.5000 0.0000 0.5000  4 Mg 3.10, 2 Al 3.15
16 Mg 0.5000 0.5000 0.0000  4 Mg 3.10, 2 Al 3.15
17 Mg 0.5000 0.5000 0.5000  4 Mg 3.10, 2 Al 3.15
18 Mg 0.6615 0.8308 0.7500  2 Al 3.05, 4 Mg 3.05-3.15
19 Mg 0.8308 0.1692 0.2500  2 Al 3.05, 4 Mg 3.05-3.15
20 Mg 0.8308 0.6615 0.2500  2 Al 3.05, 4 Mg 3.05-3.15
21 Al 0.3333 0.6667 0.6277  6 Mg 3.05-3.15
22 Al 0.3333 0.6667 0.8723  6 Mg 3.05-3.15
23 Al 0.6667 0.3333 0.1277  6 Mg 3.05-3.15
24 Al 0.6667 0.3333 0.3723  6 Mg 3.05-3.15

Summary:
- V: 169.2 Å³/f.u.
- DFT formation energy: -13 kJ/mol of atoms
- Symmetry: P6_3/mmc, No. 194

Density functional theory data (SCAN) for CdIn3Co at its PBEsol-relaxed geometry.

Lattice parameters (Å, degrees): 4.8998 4.8998 4.8998 90.00 90.00 90.00
With the nearest neighbours (Å) after each atom.
Fractional positions:
1 Cd 0.0000 0.0000 0.0000  12 In 3.46
2 In 0.0000 0.5000 0.5000  2 Co 2.45
3 In 0.5000 0.0000 0.5000  2 Co 2.45
4 In 0.5000 0.5000 0.0000  2 Co 2.45
5 Co 0.5000 0.5000 0.5000  6 In 2.45

Summary:
- V: 117.6 Å³/f.u.
- DFT formation energy: 12 kJ/mol of atoms
- Symmetry: Pm-3m, No. 221

Density functional theory data (SCAN) for Sn2Te2Pb at its PBEsol-relaxed geometry.

Lattice parameters (Å, degrees): 9.1474 9.1474 9.1474 153.56 153.56 37.75
With the nearest neighbours (Å) after each atom.
Fractional positions:
1 Sn 0.2500 0.7500 0.5000  4 Sn 2.96
2 Sn 0.7500 0.2500 0.5000  4 Sn 2.96
3 Te 0.0963 0.0963 0.0000  1 Te 3.33, 4 Sn 3.39, 4 Pb 3.40
4 Te 0.9037 0.9037 0.0000  1 Te 3.33, 4 Sn 3.39, 4 Pb 3.40
5 Pb 0.5000 0.5000 0.0000  8 Te 3.40

Summary:
- V: 151.6 Å³/f.u.
- Uncorrected formation energy: 0.23 eV/f.u.
- Symmetry: I4/mmm, No. 139